Record 1
# ScPSe2N

ScPSe2N after structural relaxation (GGA-PBE, the Alexandria database).

The structure belongs to space group P4/mmm (No. 123); the cell edges are 5.004, 5.004 and 3.393 Å and the angles 90.00°, 90.00° and 90.00°. The distinct sites, in fractional coordinates, are Sc at (0.000, 0.000, 0.000), P at (0.500, 0.500, 0.500), Se at (0.000, 0.500, 0.500) and N at (0.500, 0.500, 0.000).


Record 2
# Sc2SnPN

Sc2SnPN after structural relaxation (GGA-PBE, the Alexandria database).

The structure belongs to space group P4/mmm (No. 123); the cell edges are 4.856, 4.856 and 4.973 Å and the angles 90.00°, 90.00° and 90.00°. The distinct sites, in fractional coordinates, are Sc at (0.000, 0.500, 0.000), Sn at (0.000, 0.000, 0.500), P at (0.000, 0.000, 0.000) and N at (0.500, 0.500, 0.500).


Record 3
# ScTePN2

ScTePN2 after structural relaxation (GGA-PBE, the Alexandria database).

The structure belongs to space group P4/mmm (No. 123); the cell edges are 4.047, 4.047 and 6.318 Å and the angles 90.00°, 90.00° and 90.00°. The distinct sites, in fractional coordinates, are Sc at (0.000, 0.000, 0.000), Te at (0.000, 0.000, 0.500), P at (0.500, 0.500, 0.500) and N at (0.000, 0.500, 0.000).


Number 1: final energy -27.4 eV per cell, M_tot 0.00 μB/f.u., uncorrected formation energy -0.067 eV per atom. Number 2: final energy -27.0 eV per cell, M_tot 0.06 μB/f.u., uncorrected formation energy 0.687 eV per atom. Number 3: final energy -26.9 eV per cell, M_tot 1.68 μB/f.u., uncorrected formation energy 0.933 eV per atom.